This record from Alexandria describes an optimized crystal structure of Ba4ScSe. The functional is GGA-PBE.

a b c (Å): 10.2975 10.2975 10.2975
angles (deg): 90.00 90.00 90.00
Space group F-43m (No. 216)
Asymmetric unit:
Ba 0.1253 0.1253 0.1253 [16 per cell]
Sc 0.2500 0.2500 0.7500 [4 per cell]
Se 0.0000 0.0000 0.5000 [4 per cell]

Calculated values
**Calculated volume**: 45.50 A^3/atom
**Density of states at the Fermi level**: 1.6436 states/eV/atom
**Energy relative to the elements, uncorrected**: 0.364 eV per atom
**Uncorrected energy**: -61.3 eV/cell